CoAuO3: relaxed, GGA+U.

a b c (Å): 3.996 3.996 3.996
angles (deg): 90.00 90.00 90.00
Fractional coordinates of all 5 atoms:
Co 0.000 0.000 0.000
Au 0.500 0.500 0.500
O 0.000 0.500 0.500
O 0.500 0.000 0.500
O 0.500 0.500 0.000

E = -20.71 eV per cell
Magnetic moment = 0.60 μB per atom
Mass density = 7.909 g cm⁻³
Crystal system = cubic